The following is a DFT calculation (PBE) of a relaxed structure of K2HoThSe4.

```
8
Lattice="4.211 0.000 0.000 0.000 7.323 0.139 0.000 -2.559 7.713" Properties=species:S:1:pos:R:3 pbc="T T T"
K 0.000 2.382 3.926
Se 0.000 -0.060 6.147
Se 2.106 3.519 6.165
K 2.106 -1.280 3.857
Th 0.000 0.000 0.000
Se 0.000 4.824 1.706
Ho 2.106 3.661 0.070
Se 2.106 1.245 1.688
```

Values from the calculation:
DOS(E_F) = 0.52 states/eV/atom
ΔE_f (raw) = -1.64 eV/atom

---

The following is a DFT calculation (PBE) of a relaxed structure of KHo4ThSe8.

```
14
Lattice="-2.415 7.935 1.944 -2.437 1.885 7.942 5.093 4.906 4.967" Properties=species:S:1:pos:R:3 pbc="T T T"
Se 2.557 5.920 5.981
Se -1.060 4.531 7.737
Ho 1.373 6.356 3.482
Ho 2.545 2.508 2.539
Ho -2.460 6.735 6.784
Se 1.204 6.966 10.390
Th 5.019 4.888 4.949
Ho 1.363 3.422 6.391
Se 0.001 11.000 11.096
Se 1.216 10.325 7.060
Se -1.048 7.701 4.594
K 2.722 7.996 8.075
Se -2.326 8.689 8.756
Se 0.399 3.764 3.798
```

Values from the calculation:
DOS(E_F) = 0.32 states/eV/atom
ΔE_f (raw) = -1.67 eV/atom

---

The following is a DFT calculation (PBE) of a relaxed structure of K4Ho3ThSe8.

```
16
Lattice="8.417 0.000 0.000 0.000 9.104 0.478 -4.208 -4.204 5.954" Properties=species:S:1:pos:R:3 pbc="T T T"
K 2.104 -2.102 2.977
Se 0.000 0.462 3.300
Se 6.285 2.526 0.315
Ho -2.104 2.450 3.216
Se 0.000 4.448 3.179
Ho 4.208 4.552 0.239
K -2.104 -2.102 2.977
Ho 2.104 2.450 3.216
Se 2.132 2.526 0.315
K 0.000 0.000 0.000
Se 2.076 2.374 6.117
K 4.208 0.000 0.000
Se -2.076 2.374 6.117
Th 0.000 4.552 0.239
Se 4.208 4.438 3.133
Se 4.208 0.452 3.253
```

Values from the calculation:
DOS(E_F) = 0.30 states/eV/atom
ΔE_f (raw) = -1.70 eV/atom

---

The following is a DFT calculation (PBE) of a relaxed structure of K3Ho3TiSe8.

```
15
Lattice="8.132 0.000 0.000 -4.066 7.041 -0.029 0.000 -4.663 7.867" Properties=species:S:1:pos:R:3 pbc="T T T"
Ho 2.033 1.189 3.919
K 0.000 0.000 0.000
Se -2.182 3.627 5.414
Se 6.248 -1.250 2.424
Se 0.000 -0.150 5.430
K 2.033 3.520 -0.014
Ho 4.066 -2.332 3.934
K -2.033 3.520 -0.014
Ho -2.033 1.189 3.919
Se 4.066 0.022 5.536
Ti 0.000 -2.332 3.934
Se 0.000 2.356 2.302
Se 2.182 3.627 5.414
Se 4.066 2.527 2.408
Se 1.884 -1.250 2.424
```

Values from the calculation:
ΔE_f (raw) = -1.60 eV/atom

---

The following is a DFT calculation (PBE) of a relaxed structure of K2Ho2TiSe6.

```
11
Lattice="6.913 0.008 0.044 -3.410 6.014 0.044 -1.268 -2.179 7.815" Properties=species:S:1:pos:R:3 pbc="T T T"
Ti -0.634 -1.090 3.908
Ho 2.846 0.916 3.952
K 5.139 1.040 0.044
Se 0.746 4.935 2.442
Se 3.921 3.088 2.442
Se 1.785 3.067 5.488
Se 1.489 -1.092 5.462
Ho -0.610 2.927 3.952
K -1.635 4.981 0.044
Se 0.451 0.775 2.416
Se -1.685 0.755 5.462
```

Values from the calculation:
ΔE_f (raw) = -1.55 eV/atom

---

The following is a DFT calculation (PBE) of a relaxed structure of KHoTm4Se8.

```
14
Lattice="8.481 0.000 0.000 4.241 7.345 0.000 4.241 2.448 6.967" Properties=species:S:1:pos:R:3 pbc="T T T"
Se 4.241 2.448 2.078
Tm 8.481 4.897 0.866
Se 8.481 2.308 1.803
Ho 4.241 2.448 6.857
Se 10.724 6.191 1.803
Tm 6.278 1.272 3.518
Se 10.857 3.525 5.099
K 8.481 4.897 6.124
Tm 2.203 1.272 3.518
Se 12.722 7.345 5.066
Tm 4.241 4.801 3.518
Se 8.481 7.640 5.099
Se 6.239 6.191 1.803
Se 6.106 3.525 5.099
```

Values from the calculation:
DOS(E_F) = 0.00 states/eV/atom
ΔE_f (raw) = -1.73 eV/atom

---

The following is a DFT calculation (PBE) of a relaxed structure of K3HoTm3Se8.

```
15
Lattice="-0.687 4.124 -7.055 -6.085 -4.910 2.487 1.002 7.916 4.531" Properties=species:S:1:pos:R:3 pbc="T T T"
Se -3.119 0.840 0.794
Se -2.323 4.211 2.688
Se -0.432 5.351 -3.957
Se -3.447 2.919 -2.725
Tm 0.158 6.020 -1.262
Tm -2.885 3.565 -0.019
Se -5.338 1.779 3.920
Se -5.678 3.822 0.425
Tm -2.542 1.503 3.509
K 0.000 0.000 0.000
K -3.043 -2.455 1.244
Se -0.092 3.308 -0.462
Ho 0.501 3.958 2.265
Se -2.651 6.291 -0.831
K -3.386 -0.393 -2.284
```

Values from the calculation:
DOS(E_F) = 0.53 states/eV/atom
ΔE_f (raw) = -1.67 eV/atom

---

The following is a DFT calculation (PBE) of a relaxed structure of K4HoTm3Se8.

```
16
Lattice="8.341 0.000 0.000 0.000 9.048 0.492 -4.171 -4.167 5.902" Properties=species:S:1:pos:R:3 pbc="T T T"
Tm -2.085 2.441 3.197
K -2.085 -2.083 2.951
Se 6.245 2.552 0.335
Se 0.000 0.477 3.284
K 2.085 -2.083 2.951
K 0.000 0.000 0.000
Tm 4.171 4.524 0.246
K 4.171 0.000 0.000
Se 2.097 2.552 0.335
Se 0.000 4.402 3.124
Se -2.074 2.330 6.059
Se 2.074 2.330 6.059
Se 4.171 0.479 3.270
Tm 2.085 2.441 3.197
Se 4.171 4.404 3.110
Ho 0.000 4.524 0.246
```

Values from the calculation:
DOS(E_F) = 0.00 states/eV/atom
ΔE_f (raw) = -1.75 eV/atom

---

The following is a DFT calculation (PBE) of a relaxed structure of KHo4TmSe8.

```
14
Lattice="8.549 0.000 0.000 4.274 7.403 0.000 4.274 2.468 6.948" Properties=species:S:1:pos:R:3 pbc="T T T"
Se 4.274 2.468 2.054
Tm 4.274 2.468 6.847
Se 10.823 6.249 1.779
Se 10.958 3.544 5.120
K 8.549 4.936 6.061
Se 8.549 2.309 1.779
Ho 6.327 1.283 3.509
Se 12.823 7.403 5.054
Ho 4.274 4.838 3.509
Se 8.549 7.718 5.120
Ho 2.222 1.283 3.509
Se 6.274 6.249 1.779
Se 6.139 3.544 5.120
Ho 8.549 4.936 0.873
```

Values from the calculation:
DOS(E_F) = 0.00 states/eV/atom
ΔE_f (raw) = -1.74 eV/atom

---

The following is a DFT calculation (PBE) of a relaxed structure of K2HoU2Se6.

```
11
Lattice="7.218 -0.024 0.075 -3.589 6.263 0.075 -1.280 -2.200 7.816" Properties=species:S:1:pos:R:3 pbc="T T T"
Se 1.751 -1.140 5.512
Se 4.206 3.080 2.453
K 5.422 1.020 0.075
Se 0.598 5.179 2.453
K -1.793 5.218 0.075
Se 0.581 0.999 2.374
U -0.619 3.063 3.983
Se -1.857 0.959 5.512
U 2.968 0.976 3.983
Se 1.769 3.040 5.592
Ho -0.640 -1.100 3.908
```

Values from the calculation:
DOS(E_F) = 1.09 states/eV/atom
ΔE_f (raw) = -1.42 eV/atom

---

The following is a DFT calculation (PBE) of a relaxed structure of K3Ho3USe8.

```
15
Lattice="8.339 0.000 0.000 -4.169 7.215 -0.029 0.000 -4.781 7.817" Properties=species:S:1:pos:R:3 pbc="T T T"
Se 4.169 0.021 5.484
Se 2.096 3.635 5.444
K -2.085 3.607 -0.014
Se 0.000 0.008 5.458
Se 4.169 2.426 2.330
Ho -2.085 1.217 3.894
Se 6.265 -1.201 2.344
K 0.000 0.000 0.000
Ho 2.085 1.217 3.894
Se -2.096 3.635 5.444
Se 0.000 2.413 2.305
K 2.085 3.607 -0.014
Se 2.074 -1.201 2.344
Ho 4.169 -2.390 3.909
U 0.000 -2.390 3.909
```

Values from the calculation:
DOS(E_F) = 0.39 states/eV/atom
ΔE_f (raw) = -1.64 eV/atom

---

The following is a DFT calculation (PBE) of a relaxed structure of K3HoU2Se6.

```
12
Lattice="7.296 -0.001 0.000 -3.647 6.319 0.000 -1.216 -2.106 7.730" Properties=species:S:1:pos:R:3 pbc="T T T"
Se 2.412 0.000 1.603
K -2.431 4.212 3.865
U 3.649 2.105 0.000
Ho 0.000 0.000 0.000
K 1.216 2.106 3.865
Se 2.442 4.228 1.603
Se 0.020 4.211 6.127
Se -0.010 -0.017 6.128
Se -1.206 2.089 1.603
K 4.863 -0.001 3.865
Se 3.638 2.122 6.127
U 0.000 4.212 0.000
```

Values from the calculation:
DOS(E_F) = 0.72 states/eV/atom
ΔE_f (raw) = -1.40 eV/atom

---

The following is a DFT calculation (PBE) of a relaxed structure of K4Ho3USe8.

```
16
Lattice="8.422 0.000 0.000 0.000 9.086 0.462 -4.211 -4.207 5.958" Properties=species:S:1:pos:R:3 pbc="T T T"
K 0.000 0.000 0.000
Se 2.084 2.337 6.098
Ho 4.211 4.543 0.231
Se 2.128 2.542 0.322
Se 4.211 0.461 3.270
U 0.000 4.543 0.231
Se 0.000 0.456 3.298
Se 6.295 2.542 0.322
Se -2.084 2.337 6.098
Se 0.000 4.418 3.150
Ho -2.106 2.440 3.210
Ho 2.106 2.440 3.210
K 2.106 -2.103 2.979
K 4.211 0.000 0.000
Se 4.211 4.423 3.123
K -2.106 -2.103 2.979
```

Values from the calculation:
DOS(E_F) = 0.58 states/eV/atom
ΔE_f (raw) = -1.61 eV/atom

---

The following is a DFT calculation (PBE) of a relaxed structure of K2HoUSe4.

```
8
Lattice="4.212 0.000 0.000 0.000 7.305 0.110 0.000 -2.547 7.673" Properties=species:S:1:pos:R:3 pbc="T T T"
Se 2.106 3.541 6.167
K 2.106 -1.274 3.837
U 0.000 0.000 0.000
Se 2.106 1.217 1.617
K 0.000 2.379 3.892
Se 0.000 -0.065 6.123
Se 0.000 4.823 1.661
Ho 2.106 3.653 0.055
```

Values from the calculation:
DOS(E_F) = 0.92 states/eV/atom
ΔE_f (raw) = -1.48 eV/atom

---

The following is a DFT calculation (PBE) of a relaxed structure of K2HoUSe6.

```
20
Lattice="7.687 0.000 -0.026 0.000 7.699 0.000 0.032 0.000 10.900" Properties=species:S:1:pos:R:3 pbc="T T T"
K 0.026 7.608 2.726
Se 4.044 0.018 2.772
Ho 3.844 0.000 -0.013
Se 2.140 5.659 5.303
K 7.693 0.091 8.149
U 0.000 3.850 0.000
U 3.860 0.000 5.437
Se 7.504 3.867 2.639
Se 3.676 7.681 8.102
Se 1.823 1.723 5.307
K 3.886 3.941 8.163
Se 1.720 1.809 0.134
Se 5.682 2.126 10.744
Se 2.037 5.573 0.130
K 3.833 3.758 2.711
Se 0.216 3.832 8.235
Se 5.999 5.890 10.740
Se 5.896 5.976 5.567
Ho 0.016 3.850 5.450
Se 5.579 2.040 5.572
```

Values from the calculation:
DOS(E_F) = 0.63 states/eV/atom
ΔE_f (raw) = -1.21 eV/atom

---

The following is a DFT calculation (PBE) of a relaxed structure of K3Ho2USe6.

```
12
Lattice="-6.841 -2.086 1.518 4.465 -4.489 -3.657 3.195 -0.842 7.373" Properties=species:S:1:pos:R:3 pbc="T T T"
Ho 0.697 -3.688 -1.932
Se -1.818 -1.331 1.886
Se 2.637 -6.086 3.348
Se 2.005 -2.143 0.137
Se -1.077 -4.978 -0.043
U 0.000 0.000 0.000
K -3.361 -2.907 4.343
Ho -3.073 -2.887 -0.207
K 0.410 -3.708 2.617
Se 1.897 -2.439 5.277
K 4.181 -4.510 0.891
Se -1.186 -5.274 5.098
```

Values from the calculation:
DOS(E_F) = 0.78 states/eV/atom
ΔE_f (raw) = -1.56 eV/atom

---

The following is a DFT calculation (PBE) of a relaxed structure of K4HoU3Se8.

```
16
Lattice="-1.988 6.503 4.964 -4.045 -5.720 5.873 8.052 -1.500 -1.950" Properties=species:S:1:pos:R:3 pbc="T T T"
Se 3.506 -0.700 5.927
Se 2.545 -0.740 1.989
Se -0.526 0.024 6.898
Se 0.444 -3.227 4.405
U 2.003 -3.610 1.961
K 4.026 -0.750 -0.975
Ho -2.023 -2.860 2.936
U 1.009 -0.358 4.443
K 0.000 0.000 0.000
Se 1.575 2.510 4.482
U -3.017 0.392 5.419
Se 4.510 -3.984 3.420
K 3.032 2.502 1.507
Se -2.491 3.268 5.467
K -0.994 3.252 2.482
Se -1.487 -0.016 2.960
```

Values from the calculation:
DOS(E_F) = 1.07 states/eV/atom
ΔE_f (raw) = -1.35 eV/atom

---

The following is a DFT calculation (PBE) of a relaxed structure of KY4HoSe8.

```
14
Lattice="8.594 0.000 0.000 4.297 7.442 0.000 4.297 2.481 6.991" Properties=species:S:1:pos:R:3 pbc="T T T"
Y 8.594 4.962 0.878
Se 10.878 6.281 1.795
Y 6.361 1.289 3.529
Se 8.594 7.754 5.149
Se 12.891 7.442 5.083
Y 4.297 4.865 3.529
Y 2.232 1.289 3.529
K 8.594 4.962 6.098
Se 6.309 6.281 1.795
Se 11.012 3.566 5.149
Ho 4.297 2.481 6.890
Se 4.297 2.481 2.061
Se 6.176 3.566 5.149
Se 8.594 2.324 1.795
```

Values from the calculation:
DOS(E_F) = 0.00 states/eV/atom
ΔE_f (raw) = -1.76 eV/atom

---

The following is a DFT calculation (PBE) of a relaxed structure of K4Y3HoSe8.

```
16
Lattice="8.423 0.000 0.000 0.000 9.082 0.456 -4.212 -4.208 5.959" Properties=species:S:1:pos:R:3 pbc="T T T"
Se 2.098 2.556 0.308
Se 4.212 4.429 3.126
Se 0.000 0.445 3.289
Ho 0.000 4.541 0.228
K -2.106 -2.104 2.980
Se -2.114 2.318 6.107
Y 4.212 4.541 0.228
Se 2.114 2.318 6.107
Y 2.106 2.437 3.208
K 0.000 0.000 0.000
K 2.106 -2.104 2.980
Se 6.326 2.556 0.308
Y -2.106 2.437 3.208
Se 0.000 4.431 3.116
Se 4.212 0.443 3.299
K 4.212 0.000 0.000
```

Values from the calculation:
DOS(E_F) = 0.00 states/eV/atom
ΔE_f (raw) = -1.77 eV/atom